Computed, not measured: crystalline PmSnBi2 at its relaxed geometry at the GGA-PBE level of DFT.

Results
* calculated density: 9.28 Mg/m³
* formation energy from the elements: -415 meV/atom
* E above lowest polymorph: 30.9 meV/atom
* Fermi-level density of states: 2.165 states/eV/cell
* DFT total energy: -18.18 eV/cell
* space group: No. 123
* crystal system: tetragonal

Unit cell a=4.3265 b=4.3265 c=6.5152 alpha=90.00 beta=90.00 gamma=90.00
Last column: nearest neighbours and their distance in Å.
Positions (direct):
Pm (0.0000, 0.0000, 0.0000)  2 Sn 3.26, 8 Bi 3.45
Sn (0.0000, 0.0000, 0.5000)  2 Pm 3.26, 8 Bi 3.48
Bi (0.5000, 0.5000, 0.2440)  2 Bi 3.18-3.34, 4 Pm 3.45, 4 Sn 3.48
Bi (0.5000, 0.5000, 0.7560)  2 Bi 3.18-3.34, 4 Pm 3.45, 4 Sn 3.48

Computed, not measured: crystalline PmSn3Bi at its relaxed geometry at the GGA-PBE level of DFT.

Results
* calculated density: 7.44 Mg/m³
* formation energy from the elements: -276 meV/atom
* Fermi-level density of states: 4.036 states/eV/cell
* DFT total energy: -44.04 eV/cell
* space group: No. 11
* crystal system: monoclinic

Unit cell a=6.5636 b=5.1428 c=9.4597 alpha=90.00 beta=96.89 gamma=90.00
Last column: nearest neighbours and their distance in Å.
Positions (direct):
Pm (0.1594, 0.2500, 0.1284)  7 Sn 3.32-3.50, 3 Bi 3.40-3.44
Pm (0.8406, 0.7500, 0.8716)  7 Sn 3.32-3.50, 3 Bi 3.40-3.44
Sn (0.3353, 0.7500, 0.3373)  3 Sn 2.98-3.14, 1 Bi 3.03
Sn (0.3701, 0.7500, 0.9786)  4 Sn 3.08-3.43, 3 Pm 3.32-3.36
Sn (0.3895, 0.7500, 0.6546)  4 Sn 2.98-3.14
Sn (0.6105, 0.2500, 0.3454)  4 Sn 2.98-3.14
Sn (0.6299, 0.2500, 0.0214)  4 Sn 3.08-3.43, 3 Pm 3.32-3.36
Sn (0.6647, 0.2500, 0.6627)  3 Sn 2.98-3.14, 1 Bi 3.03
Bi (0.1216, 0.2500, 0.7620)  3 Sn 3.03-3.34
Bi (0.8784, 0.7500, 0.2380)  3 Sn 3.03-3.34

Computed, not measured: crystalline Pm6SnBi2 at its relaxed geometry at the GGA-PBE level of DFT.

Results
* calculated density: 8.07 Mg/m³
* formation energy from the elements: -613 meV/atom
* Fermi-level density of states: 12.349 states/eV/cell
* DFT total energy: -45.78 eV/cell
* space group: No. 189
* crystal system: hexagonal

Unit cell a=8.6519 b=8.6519 c=4.4647 alpha=90.00 beta=90.00 gamma=120.00
Last column: nearest neighbours and their distance in Å.
Positions (direct):
Pm (0.0000, 0.4045, 0.0000)  4 Bi 3.45, 1 Sn 3.50, 6 Pm 3.69-3.79
Pm (0.0000, 0.7438, 0.5000)  2 Sn 3.15, 2 Bi 3.27
Pm (0.2562, 0.2562, 0.5000)  2 Sn 3.15, 2 Bi 3.27
Pm (0.4045, 0.0000, 0.0000)  4 Bi 3.45, 1 Sn 3.50, 6 Pm 3.69-3.79
Pm (0.5955, 0.5955, 0.0000)  4 Bi 3.45, 1 Sn 3.50, 6 Pm 3.69-3.79
Pm (0.7438, 0.0000, 0.5000)  2 Sn 3.15, 2 Bi 3.27
Sn (0.0000, 0.0000, 0.0000)  9 Pm 3.15-3.50
Bi (0.3333, 0.6667, 0.5000)  9 Pm 3.27-3.45
Bi (0.6667, 0.3333, 0.5000)  9 Pm 3.27-3.45

Computed, not measured: crystalline PmSnBi2 at its relaxed geometry at the GGA-PBE level of DFT.

Results
* calculated density: 9.35 Mg/m³
* formation energy from the elements: -425 meV/atom
* E above lowest polymorph: 20.6 meV/atom
* Fermi-level density of states: 4.787 states/eV/cell
* DFT total energy: -36.43 eV/cell
* space group: No. 129
* crystal system: tetragonal

Unit cell a=4.6254 b=4.6254 c=11.3168 alpha=90.00 beta=90.00 gamma=90.00
Last column: nearest neighbours and their distance in Å.
Positions (direct):
Pm (0.2500, 0.2500, 0.2369)  8 Bi 3.28-3.54
Pm (0.7500, 0.7500, 0.7631)  8 Bi 3.28-3.54
Sn (0.2500, 0.7500, 0.5000)  4 Sn 3.27, 4 Bi 3.53
Sn (0.7500, 0.2500, 0.5000)  4 Sn 3.27, 4 Bi 3.53
Bi (0.2500, 0.2500, 0.7362)  4 Pm 3.28, 4 Sn 3.53
Bi (0.2500, 0.7500, 0.0000)  4 Bi 3.27, 4 Pm 3.54
Bi (0.7500, 0.2500, 0.0000)  4 Bi 3.27, 4 Pm 3.54
Bi (0.7500, 0.7500, 0.2638)  4 Pm 3.28, 4 Sn 3.53

Computed, not measured: crystalline Pm2SnBi4 at its relaxed geometry at the GGA-PBE level of DFT.

Results
* calculated density: 8.88 Mg/m³
* formation energy from the elements: -473 meV/atom
* E above lowest polymorph: 0.0 meV/atom
* Fermi-level density of states: 2.682 states/eV/cell
* DFT total energy: -32.34 eV/cell
* space group: No. 115
* crystal system: tetragonal

Unit cell a=4.5525 b=4.5525 c=11.2247 alpha=90.00 beta=90.00 gamma=90.00
Last column: nearest neighbours and their distance in Å.
Positions (direct):
Pm (0.0000, 0.5000, 0.2258)  8 Bi 3.33-3.41
Pm (0.5000, 0.0000, 0.7742)  8 Bi 3.33-3.41
Sn (0.0000, 0.0000, 0.5000)  4 Bi 3.17
Bi (0.0000, 0.0000, 0.0000)  4 Bi 3.22, 4 Pm 3.41
Bi (0.0000, 0.5000, 0.6966)  2 Sn 3.17, 4 Pm 3.33
Bi (0.5000, 0.0000, 0.3034)  2 Sn 3.17, 4 Pm 3.33
Bi (0.5000, 0.5000, 0.0000)  4 Bi 3.22, 4 Pm 3.41

Computed, not measured: crystalline PmSnBi2 at its relaxed geometry at the GGA-PBE level of DFT.

Results
* calculated density: 9.48 Mg/m³
* formation energy from the elements: -424 meV/atom
* E above lowest polymorph: 22.1 meV/atom
* Fermi-level density of states: 2.157 states/eV/cell
* DFT total energy: -18.21 eV/cell
* space group: No. 123
* crystal system: tetragonal

Unit cell a=5.0001 b=5.0001 c=4.7741 alpha=90.00 beta=90.00 gamma=90.00
Last column: nearest neighbours and their distance in Å.
Positions (direct):
Pm (0.0000, 0.0000, 0.0000)  8 Bi 3.46, 4 Sn 3.54
Sn (0.5000, 0.5000, 0.0000)  8 Bi 3.46, 4 Pm 3.54
Bi (0.0000, 0.5000, 0.5000)  4 Sn 3.46, 4 Pm 3.46, 4 Bi 3.54
Bi (0.5000, 0.0000, 0.5000)  4 Sn 3.46, 4 Pm 3.46, 4 Bi 3.54